Material: Na2TeSe3
Method: DFT, PBEsol
State: optimized geometry

Output
space group	C2/c, No. 15
crystal system	monoclinic
DFT total energy	-3.580	eV/atom
formation energy without anion corrections	-0.60	eV per atom

Structure (POSCAR):
```
Na2TeSe3
1.0
-5.653 -1.170 -1.328
-2.964 -8.264 6.688
-5.920 2.850 9.477
Na Te Se
8 4 12
direct
0.745 0.619 0.874
0.458 0.955 0.192
0.761 0.119 0.374
0.239 0.881 0.626
0.604 0.545 0.308
0.255 0.381 0.126
0.396 0.455 0.692
0.542 0.045 0.808
0.943 0.205 0.004
0.057 0.795 0.996
0.152 0.295 0.496
0.848 0.705 0.504
0.752 0.865 0.619
0.380 0.223 0.957
0.248 0.135 0.381
0.620 0.777 0.043
0.050 0.033 0.806
0.765 0.365 0.119
0.440 0.723 0.457
0.560 0.277 0.543
0.111 0.533 0.306
0.235 0.635 0.881
0.950 0.967 0.194
0.889 0.467 0.694
```